# 1
A plane-wave DFT calculation with PBE-GGA was carried out for a relaxed Cr5Mo crystal.

Its crystal system is hexagonal. The calculation puts the formation energy at 34.85 kJ per mole of atoms. The energy is -56.78 eV/f.u. The calculation puts the energy above the most stable polymorph in this dataset at 326 meV/atom.

The structure belongs to space group P6/mmm (No. 191); the cell edges are 4.6679, 4.6679 and 4.1381 Å and the angles 90.00°, 90.00° and 120.00°. The asymmetric unit holds Cr at (0.0000, 0.5000, 0.0000), Cr at (0.3333, 0.6667, 0.5000) and Mo at (0.0000, 0.0000, 0.5000).

***

# 2
A plane-wave DFT calculation with PBE-GGA was carried out for a relaxed CrMo crystal.

Its crystal system is cubic. The calculation puts the formation energy at 98.49 kJ per mole of atoms. The energy is -18.41 eV/f.u.

The structure belongs to space group Fm-3m (No. 225); the cell edges are 4.9681, 4.9681 and 4.9681 Å and the angles 90.00°, 90.00° and 90.00°. The asymmetric unit holds Cr at (0.0000, 0.0000, 0.0000) and Mo at (0.0000, 0.0000, 0.5000).

***

# 3
A plane-wave DFT calculation with PBE-GGA was carried out for a relaxed CrMo crystal.

Its crystal system is cubic. The calculation puts the formation energy at 7.49 kJ per mole of atoms. The energy is -20.30 eV/f.u.

The structure belongs to space group Fd-3m (No. 227, origin choice 2); the cell edges are 6.0498, 6.0498 and 6.0498 Å and the angles 90.00°, 90.00° and 90.00°. The asymmetric unit holds Cr at (0.1250, 0.1250, 0.1250) and Mo at (0.1250, 0.1250, 0.6250).

***

# 4
A plane-wave DFT calculation with PBE-GGA was carried out for a relaxed CrMo4 crystal.

Its crystal system is cubic. The calculation puts the formation energy at 123.51 kJ per mole of atoms. The energy is -46.55 eV/f.u. The calculation puts the energy above the most stable polymorph in this dataset at 1240 meV/atom.

The structure belongs to space group Pm-3m (No. 221); the cell edges are 4.4300, 4.4300 and 4.4300 Å and the angles 90.00°, 90.00° and 90.00°. The asymmetric unit holds Cr at (0.0000, 0.0000, 0.0000), Mo at (0.0000, 0.0000, 0.5000) and Mo at (0.5000, 0.5000, 0.5000).

***

# 5
A plane-wave DFT calculation with PBE-GGA was carried out for a relaxed CrMo crystal.

Its crystal system is orthorhombic. The calculation puts the formation energy at 7.64 kJ per mole of atoms. The energy is -20.30 eV/f.u.

The structure belongs to space group Cmme (No. 67); the cell edges are 3.0416, 4.3242 and 8.4358 Å and the angles 90.00°, 90.00° and 90.00°. The asymmetric unit holds Cr at (0.0000, 0.2500, 0.1109) and Mo at (0.0000, 0.2500, 0.6377).

***

# 6
A plane-wave DFT calculation with PBE-GGA was carried out for a relaxed CrMo crystal.

Its crystal system is tetragonal. The calculation puts the formation energy at 30.45 kJ per mole of atoms. The energy is -19.82 eV/f.u.

The structure belongs to space group I4_1/amd (No. 141, origin choice 2); the cell edges are 3.5374, 3.5374 and 9.0152 Å and the angles 90.00°, 90.00° and 90.00°. The asymmetric unit holds Cr at (0.0000, 0.2500, 0.3750) and Mo at (0.0000, 0.2500, 0.8750).

***

Question: Look up the energy of the third one.
Answer: -20.30 eV/f.u.

***

Copy entry 3 word for word.
A plane-wave DFT calculation with PBE-GGA was carried out for a relaxed CrMo crystal.

Its crystal system is cubic. The calculation puts the formation energy at 7.49 kJ per mole of atoms. The energy is -20.30 eV/f.u.

The structure belongs to space group Fd-3m (No. 227, origin choice 2); the cell edges are 6.0498, 6.0498 and 6.0498 Å and the angles 90.00°, 90.00° and 90.00°. The asymmetric unit holds Cr at (0.1250, 0.1250, 0.1250) and Mo at (0.1250, 0.1250, 0.6250).

***

Question: Look up the energy of the second one.
Answer: -18.41 eV/f.u.